The following is a DFT calculation (GGA-PBE) of CuSb2Ru after structural relaxation.

The space-group type is F-43m. As for the offset from the most stable computed form: 51.6 kJ per mole of atoms. Its density of states at the Fermi level is 11.292 states/eV/cell. As for the formation energy without anion corrections: 2.32 eV per formula unit. Its volume is 19.0 Å³/atom. The calculation puts the magnetic moment at 0.000 μB/f.u. The density is 8927 kg/m3.

Cell lengths 6.7216, 6.7216, 6.7216 Å; angles 90.00, 90.00, 90.00 degrees
Positions (direct):
Cu 0.0000 0.0000 0.0000
Cu 0.0000 0.5000 0.5000
Cu 0.5000 0.0000 0.5000
Cu 0.5000 0.5000 0.0000
Sb 0.0000 0.0000 0.5000
Sb 0.0000 0.5000 0.0000
Sb 0.2500 0.2500 0.2500
Sb 0.2500 0.7500 0.7500
Sb 0.5000 0.0000 0.0000
Sb 0.5000 0.5000 0.5000
Sb 0.7500 0.2500 0.7500
Sb 0.7500 0.7500 0.2500
Ru 0.2500 0.2500 0.7500
Ru 0.2500 0.7500 0.2500
Ru 0.7500 0.2500 0.2500
Ru 0.7500 0.7500 0.7500